The following is a PBE calculation of a relaxed LaGaCl4 crystal, from the Alexandria database.

Cell lengths 10.9834, 7.4375, 10.4900 Å; angles 90.00, 99.41, 90.00 degrees
Closest atoms and distances in Å follow each position.
Positions (direct):
La  0.1747  0.2174  0.2969  6 Cl 2.76-2.83
La  0.1747  0.2826  0.7969  6 Cl 2.76-2.83
La  0.8253  0.7174  0.2031  6 Cl 2.76-2.83
La  0.8253  0.7826  0.7031  6 Cl 2.76-2.83
Ga  0.4255  0.7397  0.5966  4 Cl 2.81-3.00
Ga  0.4255  0.7603  0.0966  4 Cl 2.81-3.00
Ga  0.5745  0.2397  0.9034  4 Cl 2.81-3.00
Ga  0.5745  0.2603  0.4034  4 Cl 2.81-3.00
Cl  0.0367  0.5766  0.6822  2 La 2.82
Cl  0.0367  0.9234  0.1822  2 La 2.82
Cl  0.1726  0.1134  0.5551  2 La 2.82-2.83
Cl  0.1726  0.3866  0.0551  2 La 2.82-2.83
Cl  0.3562  0.0373  0.8892  1 La 2.76, 2 Ga 2.81-3.00
Cl  0.3562  0.4627  0.3892  1 La 2.76, 2 Ga 2.81-3.00
Cl  0.3785  0.5050  0.7994  1 La 2.78, 2 Ga 2.86-2.99
Cl  0.3785  0.9950  0.2994  1 La 2.78, 2 Ga 2.86-2.99
Cl  0.6215  0.0050  0.7006  1 La 2.78, 2 Ga 2.86-2.99
Cl  0.6215  0.4950  0.2006  1 La 2.78, 2 Ga 2.86-2.99
Cl  0.6438  0.5373  0.6108  1 La 2.76, 2 Ga 2.81-3.00
Cl  0.6438  0.9627  0.1108  1 La 2.76, 2 Ga 2.81-3.00
Cl  0.8274  0.6134  0.9449  2 La 2.82-2.83
Cl  0.8274  0.8866  0.4449  2 La 2.82-2.83
Cl  0.9633  0.0766  0.8178  2 La 2.82
Cl  0.9633  0.4234  0.3178  2 La 2.82

Properties
M_tot (Bohr magnetons per cell): 0.000
Space-group type: P2_1/c
Electronic total energy (eV per atom): -4.3582